Record 1
Cr3Hg | GGA-PBE | optimized geometry

The volume comes out at 60.9 Å³/f.u. For the energy relative to the elements, the calculation gives 541 meV/atom.

The structure belongs to space group R-3m (No. 166, hexagonal axes); the cell edges are 2.8983, 2.8983 and 25.0969 Å and the angles 90.00°, 90.00° and 120.00°. The asymmetric unit holds Cr at (0.0000, 0.0000, 0.0000), Cr at (0.0000, 0.0000, 0.2630) and Hg at (0.0000, 0.0000, 0.5000).

***

Record 2
CrHg | GGA-PBE | optimized geometry

The volume comes out at 43.3 Å³/f.u. For the energy relative to the elements, the calculation gives 649 meV/atom.

The structure belongs to space group I4/mmm (No. 139); the cell edges are 10.785, 10.785 and 2.981 Å and the angles 90.00°, 90.00° and 90.00°. The asymmetric unit holds Cr at (0.201, 0.201, 0.000) and Hg at (0.000, 0.274, 0.500).

***

Record 3
Cr3Hg | GGA-PBE | optimized geometry

The volume comes out at 55.7 Å³/f.u. For the energy relative to the elements, the calculation gives 543 meV/atom.

The structure belongs to space group P6_3/mmc (No. 194); the cell edges are 5.4574, 5.4574 and 8.6404 Å and the angles 90.00°, 90.00° and 120.00°. The asymmetric unit holds Cr at (0.0000, 0.5000, 0.0000), Cr at (0.1928, 0.3856, 0.2500), Hg at (0.0000, 0.0000, 0.0000) and Hg at (0.3333, 0.6667, 0.7500).

***

Record 4
CrHg | GGA-PBE | optimized geometry

The volume comes out at 45.1 Å³/f.u. For the energy relative to the elements, the calculation gives 727 meV/atom.

The structure belongs to space group P6_3/mmc (No. 194); the cell edges are 4.0653, 4.0653 and 6.2964 Å and the angles 90.00°, 90.00° and 120.00°. The asymmetric unit holds Cr at (0.0000, 0.0000, 0.0000) and Hg at (0.3333, 0.6667, 0.2500).

***

Record 5
Cr5Hg | GGA-PBE | optimized geometry

The volume comes out at 80.9 Å³/f.u. The polymorph energy (0 for the lowest one) is 0.0381 eV per atom. For the energy relative to the elements, the calculation gives 435 meV/atom.

The structure belongs to space group Amm2 (No. 38); the cell edges are 4.329, 2.978 and 12.551 Å and the angles 90.00°, 90.00° and 90.00°. The asymmetric unit holds Cr at (0.000, 0.000, 0.000), Cr at (0.000, 0.000, 0.326), Cr at (0.000, 0.000, 0.668), Cr at (0.500, 0.000, 0.155), Cr at (0.500, 0.000, 0.519) and Hg at (0.500, 0.000, 0.839).

***

Record 6
Cr2Hg | GGA-PBE | optimized geometry

The volume comes out at 43.8 Å³/f.u. The polymorph energy (0 for the lowest one) is 0.3068 eV per atom. For the energy relative to the elements, the calculation gives 690 meV/atom.

The structure belongs to space group P-3m1 (No. 164); the cell edges are 4.3178, 4.3178 and 2.7135 Å and the angles 90.00°, 90.00° and 120.00°. The asymmetric unit holds Cr at (0.3333, 0.6667, 0.4078) and Hg at (0.0000, 0.0000, 0.0000).

***

Total DFT energy (no corrections), record by record: -6.752; -4.314; -6.750; -4.235; -7.635; -5.826 eV per atom